A plane-wave DFT calculation with PBE-GGA was carried out for an optimized crystal structure of Dy6MgCo.

## Properties
E_tot	-4.38	eV per atom
D(E_F)	1.527	states/eV/atom
E_form	0.159	eV per atom

```
8
Lattice="-3.228 -1.109 5.886 -5.369 -4.237 0.193 0.924 -6.486 3.169" Properties=species:S:1:pos:R:3 pbc="T T T"
Mg -3.836 -5.915 4.624
Dy -2.003 -5.900 7.132
Dy -4.955 -8.788 4.991
Dy -1.591 -6.704 2.617
Dy -6.081 -5.127 6.631
Dy -5.669 -5.931 2.115
Dy -2.716 -3.043 4.257
Co 0.000 0.000 0.000
```

---

A plane-wave DFT calculation with PBE-GGA was carried out for an optimized crystal structure of DyMg2Co9.

## Properties
E_tot	-6.06	eV per atom
D(E_F)	1.166	states/eV/atom
E_form	-0.080	eV per atom

```
12
Lattice="-2.755 3.460 2.073 -3.970 1.668 -2.306 -6.588 -3.834 3.395" Properties=species:S:1:pos:R:3 pbc="T T T"
Mg -8.595 2.743 1.262
Co -8.873 0.155 2.397
Co -4.520 3.371 -0.126
Mg -4.718 -1.449 1.901
Co -8.793 -2.078 3.288
Co -6.657 0.647 1.581
Co -6.844 -0.697 3.575
Co -4.441 1.138 0.766
Co -7.465 -1.612 1.338
Dy 0.000 0.000 0.000
Co -6.470 1.991 -0.412
Co -5.849 2.906 1.825
```

---

A plane-wave DFT calculation with PBE-GGA was carried out for an optimized crystal structure of Dy4MgCo.

## Properties
E_tot	-4.67	eV per atom
D(E_F)	0.822	states/eV/atom
E_form	-0.154	eV per atom

```
24
Lattice="9.563 0.000 0.000 4.781 8.282 0.000 4.781 2.761 7.808" Properties=species:S:1:pos:R:3 pbc="T T T"
Dy 12.553 7.247 7.319
Dy 12.560 3.791 6.351
Dy 12.560 7.252 1.457
Mg 8.046 6.397 4.523
Mg 9.563 5.521 2.047
Dy 9.563 8.982 6.351
Dy 14.344 6.213 4.393
Co 4.781 5.171 1.100
Mg 9.563 3.770 4.523
Dy 6.566 7.252 1.457
Dy 6.588 3.804 2.690
Dy 16.136 7.247 7.319
Dy 9.563 2.060 1.457
Dy 12.537 3.804 2.690
Co 4.781 2.761 4.509
Co 2.693 1.555 1.100
Dy 6.566 3.791 6.351
Dy 12.553 9.316 4.393
Dy 16.136 9.316 4.393
Mg 11.079 6.397 4.523
Dy 9.563 5.521 7.547
Co 6.869 1.555 1.100
Dy 14.344 10.350 7.319
Dy 9.563 8.956 2.690
```

---

A plane-wave DFT calculation with PBE-GGA was carried out for an optimized crystal structure of DyMg3Co8.

## Properties
E_tot	-5.60	eV per atom
D(E_F)	1.211	states/eV/atom
E_form	-0.081	eV per atom

```
12
Lattice="-4.042 0.756 2.665 -1.901 -3.652 2.659 2.561 1.232 8.039" Properties=species:S:1:pos:R:3 pbc="T T T"
Mg 2.520 1.212 7.984
Co -1.694 -0.840 11.185
Co -4.175 -0.667 5.132
Co 0.011 -0.002 4.522
Co -2.841 -0.017 9.212
Co -2.143 -1.047 3.793
Co -1.758 -2.245 9.209
Co -3.802 -1.863 10.557
Mg 0.022 -0.003 9.044
Dy -4.247 -2.075 7.663
Co -3.099 -2.882 5.129
Mg -1.625 -0.800 6.773
```

---

A plane-wave DFT calculation with PBE-GGA was carried out for an optimized crystal structure of Dy2Mg3Co2.

## Properties
E_tot	-4.16	eV per atom
D(E_F)	0.712	states/eV/atom
E_form	-0.131	eV per atom

```
7
Lattice="4.113 0.000 0.000 -2.056 5.086 0.029 0.000 -1.134 6.936" Properties=species:S:1:pos:R:3 pbc="T T T"
Dy 2.056 0.880 2.568
Mg 2.056 0.884 5.937
Mg 0.000 0.000 0.000
Co 0.000 0.048 4.403
Dy 0.000 3.072 4.397
Co 2.056 3.904 2.563
Mg 0.000 3.068 1.029
```

---

A plane-wave DFT calculation with PBE-GGA was carried out for an optimized crystal structure of Dy3MgCo8.

## Properties
E_tot	-6.20	eV per atom
D(E_F)	1.360	states/eV/atom
E_form	-0.176	eV per atom

```
12
Lattice="5.010 0.000 0.000 2.505 4.339 0.000 2.505 1.446 8.208" Properties=species:S:1:pos:R:3 pbc="T T T"
Dy 5.010 2.892 4.031
Co 8.757 5.056 5.608
Co 6.257 2.172 1.569
Co 3.762 2.172 1.569
Co 6.272 5.056 5.608
Dy 5.010 2.892 7.163
Co 5.010 4.333 1.569
Co 7.515 4.339 7.697
Co 7.515 2.904 5.608
Co 2.505 1.446 3.577
Mg 7.515 4.339 3.104
Dy 7.515 4.339 0.093
```

---

A plane-wave DFT calculation with PBE-GGA was carried out for an optimized crystal structure of Dy4Mg5Co2.

## Properties
E_tot	-3.81	eV per atom
D(E_F)	0.756	states/eV/atom
E_form	-0.120	eV per atom

```
11
Lattice="3.568 0.000 0.000 0.000 7.872 -0.006 0.000 -0.767 9.471" Properties=species:S:1:pos:R:3 pbc="T T T"
Dy 1.784 0.695 7.901
Mg 0.000 3.060 6.316
Mg 0.000 5.853 8.069
Co 0.000 0.072 6.027
Dy 1.784 5.888 5.248
Mg 0.000 4.046 3.148
Mg 0.000 3.936 -0.003
Mg 0.000 1.253 1.395
Co 0.000 7.033 3.438
Dy 1.784 1.218 4.217
Dy 1.784 6.410 1.564
```

---

A plane-wave DFT calculation with PBE-GGA was carried out for an optimized crystal structure of Dy12MgCo5.

## Properties
E_tot	-5.30	eV per atom
D(E_F)	1.018	states/eV/atom
E_form	-0.172	eV per atom

```
18
Lattice="-6.564 -4.693 -1.978 5.353 0.280 -6.348 4.042 -3.187 6.522" Properties=species:S:1:pos:R:3 pbc="T T T"
Dy 2.176 -3.330 1.448
Co -0.753 -2.743 -5.175
Dy 3.791 -4.486 -1.603
Dy 7.239 -3.163 -1.468
Dy -2.007 -6.388 1.686
Mg 4.698 -1.453 0.087
Co 3.034 -3.333 -4.096
Dy -2.841 -3.188 -3.318
Dy -4.408 -4.437 -0.337
Co 0.000 0.000 0.000
Dy 0.655 -4.270 -3.253
Dy 1.142 -6.154 -0.234
Dy -0.960 -3.114 -0.202
Co -0.458 -1.670 -3.151
Co -0.203 -4.267 2.291
Dy 4.838 -1.212 -3.490
Dy 5.672 -4.411 1.513
Dy 1.689 -1.446 -1.571
```

---

A plane-wave DFT calculation with PBE-GGA was carried out for an optimized crystal structure of Dy3MgCo.

## Properties
E_tot	-4.62	eV per atom
D(E_F)	0.915	states/eV/atom
E_form	-0.121	eV per atom

```
10
Lattice="-0.234 -2.019 -2.893 5.295 3.698 -0.849 4.781 -8.947 5.857" Properties=species:S:1:pos:R:3 pbc="T T T"
Dy 4.177 -1.786 -1.252
Dy 9.028 -4.668 2.526
Dy 6.545 -3.929 0.051
Co 6.370 -1.090 0.245
Mg 1.725 0.618 -0.571
Co 3.472 -6.178 1.870
Mg 8.116 -7.886 2.686
Dy 5.665 -5.482 3.367
Dy 3.296 -3.339 2.064
Dy 0.813 -2.600 -0.412
```

---

A plane-wave DFT calculation with PBE-GGA was carried out for an optimized crystal structure of Dy4Mg3Co.

## Properties
E_tot	-3.88	eV per atom
D(E_F)	0.969	states/eV/atom
E_form	-0.091	eV per atom

```
8
Lattice="-0.805 -0.598 3.300 3.335 0.220 0.854 -1.766 16.676 2.591" Properties=species:S:1:pos:R:3 pbc="T T T"
Dy -0.645 6.096 0.947
Dy -0.167 1.575 0.245
Dy -1.120 10.580 1.644
Mg -0.088 12.592 4.063
Mg 0.852 3.707 2.682
Co 1.265 -0.189 2.077
Mg 0.382 8.149 3.373
Dy -1.599 15.101 2.346
```

---

A plane-wave DFT calculation with PBE-GGA was carried out for an optimized crystal structure of DyMgCo.

## Properties
E_tot	-4.59	eV per atom
D(E_F)	0.595	states/eV/atom
E_form	-0.155	eV per atom

```
6
Lattice="-3.264 -0.519 2.346 1.215 -2.709 4.600 0.068 4.404 4.586" Properties=species:S:1:pos:R:3 pbc="T T T"
Mg 0.270 -0.350 6.883
Mg -2.268 1.152 7.188
Co 0.119 2.421 7.289
Co -2.119 -1.616 6.781
Dy -0.332 1.096 9.876
Dy -1.668 -0.292 4.194
```

---

A plane-wave DFT calculation with PBE-GGA was carried out for an optimized crystal structure of Dy5MgCo.

## Properties
E_tot	-4.50	eV per atom
D(E_F)	1.126	states/eV/atom
E_form	0.032	eV per atom

```
14
Lattice="-2.713 -4.674 3.403 0.475 -5.807 -2.616 8.277 -5.717 5.459" Properties=species:S:1:pos:R:3 pbc="T T T"
Co 0.000 0.000 0.000
Dy 4.308 -7.255 2.221
Dy -1.250 -8.768 2.411
Dy -0.566 -6.131 4.622
Dy 7.290 -7.430 3.834
Dy 6.606 -10.067 1.624
Mg 1.105 -6.725 1.465
Co 4.139 -2.859 2.730
Dy -0.978 -3.988 1.658
Mg 4.934 -9.473 4.780
Dy 7.017 -12.210 4.588
Dy 4.035 -12.034 2.976
Dy 2.005 -4.164 3.269
Dy 1.732 -8.944 4.025
```

---

Q: Which value of E_tot does entry 9 give?
A: -4.62 eV per atom